The following is a DFT calculation (GGA-PBE) of a relaxed YTeCl2 crystal.

As for the spin magnetization: 0.0 μB per formula unit. The formation energy (no corrections) is -1382 meV/atom. For the density of states at the Fermi level, the calculation gives 0.7 states/eV per cell. The uncorrected energy is -4.71 eV per atom. The calculation puts the volume at 27.73 Å³ per atom.

It has space group Pm (No. 6), with a = 4.260 Å, b = 4.678 Å, c = 5.889 Å, α = 90.00°, β = 109.09° and γ = 90.00°. The inequivalent atoms are Y at (0.000, 0.000, 0.000), Te at (0.450, 0.500, 0.772), Cl at (0.049, 0.500, 0.250) and Cl at (0.609, 0.000, 0.303).

The following is a DFT calculation (GGA-PBE) of a relaxed Li4ErU3Se8 crystal.

As for the spin magnetization: 9.0 μB per formula unit. The formation energy (no corrections) is -1296 meV/atom. For the density of states at the Fermi level, the calculation gives 42.0 states/eV per cell. The uncorrected energy is -5.92 eV per atom. The calculation puts the volume at 23.14 Å³ per atom.

It has space group R-3m (No. 166, hexagonal axes), with a = 8.0559 Å, b = 8.0559 Å, c = 19.7649 Å, α = 90.00°, β = 90.00° and γ = 120.00°. The inequivalent atoms are Li at (0.0000, 0.0000, 0.0000), Li at (0.0000, 0.5000, 0.0000), Er at (0.0000, 0.0000, 0.5000), U at (0.0000, 0.5000, 0.5000), Se at (0.0000, 0.0000, 0.2537) and Se at (0.0039, 0.5019, 0.2526).

The following is a DFT calculation (GGA-PBE) of a relaxed CaRe2Br crystal.

As for the spin magnetization: 0.0 μB per formula unit. The formation energy (no corrections) is 1084 meV/atom. For the density of states at the Fermi level, the calculation gives 8.2 states/eV per cell. The uncorrected energy is -6.06 eV per atom. The calculation puts the volume at 19.55 Å³ per atom.

It has space group Cmmm (No. 65), with a = 5.179 Å, b = 10.558 Å, c = 2.860 Å, α = 90.00°, β = 90.00° and γ = 90.00°. The inequivalent atoms are Ca at (0.000, 0.000, 0.000), Re at (0.250, 0.250, 0.500) and Br at (0.000, 0.500, 0.000).

The following is a DFT calculation (GGA-PBE) of a relaxed BeF4 crystal.

As for the spin magnetization: 2.0 μB per formula unit. The formation energy (no corrections) is -1603 meV/atom. For the density of states at the Fermi level, the calculation gives 7.8 states/eV per cell. The uncorrected energy is -3.85 eV per atom. The calculation puts the volume at 13.30 Å³ per atom.

It has space group Pnma (No. 62), with a = 7.608 Å, b = 4.548 Å, c = 7.684 Å, α = 90.00°, β = 90.00° and γ = 90.00°. The inequivalent atoms are Be at (0.214, 0.250, 0.032), F at (0.014, 0.250, 0.027), F at (0.178, 0.750, 0.360) and F at (0.186, 0.504, 0.638).

The following is a DFT calculation (GGA-PBE) of a relaxed TbHoC crystal.

As for the spin magnetization: 0.4 μB per formula unit. The calculated formation energy comes out at -0.2793 eV per atom. For the density of states at the Fermi level, the calculation gives 8.9 states/eV per cell. The uncorrected energy is -6.42 eV per atom. The calculation puts the volume at 22.94 Å³ per atom.

It has space group C2/m (No. 12), with a = 12.495 Å, b = 3.594 Å, c = 6.219 Å, α = 90.00°, β = 99.73° and γ = 90.00°. The inequivalent atoms are Tb at (0.111, 0.000, 0.371), Ho at (0.108, 0.500, 0.870), C at (0.000, 0.000, 0.000) and C at (0.000, 0.500, 0.500).

The following is a DFT calculation (GGA-PBE) of a relaxed La4Nd4Tl crystal.

As for the spin magnetization: 0.0 μB per formula unit. The calculated formation energy comes out at -0.0496 eV per atom. For the density of states at the Fermi level, the calculation gives 28.1 states/eV per cell. The uncorrected energy is -4.62 eV per atom. The calculation puts the volume at 34.54 Å³ per atom.

It has space group I4/mmm (No. 139), with a = 11.066 Å, b = 11.066 Å, c = 5.077 Å, α = 90.00°, β = 90.00° and γ = 90.00°. The inequivalent atoms are La at (0.161, 0.161, 0.000), Nd at (0.000, 0.334, 0.500) and Tl at (0.000, 0.000, 0.500).

The following is a DFT calculation (GGA-PBE) of a relaxed EuHo2Co crystal.

As for the spin magnetization: 7.9 μB per formula unit. The calculated formation energy comes out at 0.0716 eV per atom. For the density of states at the Fermi level, the calculation gives 12.5 states/eV per cell. The uncorrected energy is -6.56 eV per atom. The calculation puts the volume at 31.56 Å³ per atom.

It has space group R-3m (No. 166, hexagonal axes), with a = 3.7586 Å, b = 3.7586 Å, c = 30.9524 Å, α = 90.00°, β = 90.00° and γ = 120.00°. The inequivalent atoms are Eu at (0.0000, 0.0000, 0.0000), Ho at (0.0000, 0.0000, 0.1189) and Co at (0.0000, 0.0000, 0.5000).

The following is a DFT calculation (GGA-PBE) of a relaxed NdTmHg5 crystal.

As for the spin magnetization: 0.0 μB per formula unit. The calculated formation energy comes out at -0.2443 eV per atom. For the density of states at the Fermi level, the calculation gives 8.6 states/eV per cell. The uncorrected energy is -1.78 eV per atom. The calculation puts the volume at 27.06 Å³ per atom.

It has space group C2/m (No. 12), with a = 6.363 Å, b = 8.696 Å, c = 6.915 Å, α = 90.00°, β = 98.00° and γ = 90.00°. The inequivalent atoms are Nd at (0.000, 0.000, 0.000), Tm at (0.000, 0.500, 0.500), Hg at (0.000, 0.000, 0.500) and Hg at (0.240, 0.267, 0.243).

The following is a DFT calculation (GGA-PBE) of a relaxed AsP2Cl crystal.

As for the spin magnetization: 0.0 μB per formula unit. The formation energy (no corrections) is 674 meV/atom. For the density of states at the Fermi level, the calculation gives 2.0 states/eV per cell. The uncorrected energy is -3.66 eV per atom. The calculation puts the volume at 19.61 Å³ per atom.

It has space group Pmmm (No. 47), with a = 3.411 Å, b = 3.684 Å, c = 6.241 Å, α = 90.00°, β = 90.00° and γ = 90.00°. The inequivalent atoms are As at (0.000, 0.000, 0.000), P at (0.000, 0.500, 0.500), P at (0.500, 0.000, 0.500) and Cl at (0.500, 0.500, 0.000).

The following is a DFT calculation (GGA-PBE) of a relaxed Tm2Ni5Ge3 crystal.

As for the spin magnetization: 0.0 μB per formula unit. The calculated formation energy comes out at -0.5871 eV per atom. For the density of states at the Fermi level, the calculation gives 30.3 states/eV per cell. The uncorrected energy is -5.76 eV per atom. The calculation puts the volume at 15.31 Å³ per atom.

It has space group Cmc2_1 (No. 36), with a = 3.924 Å, b = 23.372 Å, c = 6.680 Å, α = 90.00°, β = 90.00° and γ = 90.00°. The inequivalent atoms are Tm at (0.000, 0.022, 0.000), Tm at (0.000, 0.342, 0.538), Ni at (0.000, 0.105, 0.324), Ni at (0.000, 0.211, 0.324), Ni at (0.000, 0.212, 0.696), Ni at (0.000, 0.353, 0.002), Ni at (0.000, 0.449, 0.183), Ge at (0.000, 0.112, 0.703), Ge at (0.000, 0.254, 0.011) and Ge at (0.000, 0.450, 0.807).

The following is a DFT calculation (GGA-PBE) of a relaxed CeSnHgGe crystal.

As for the spin magnetization: 1.2 μB per formula unit. The calculated formation energy comes out at -0.2590 eV per atom. For the density of states at the Fermi level, the calculation gives 25.6 states/eV per cell. The uncorrected energy is -3.97 eV per atom. The calculation puts the volume at 24.85 Å³ per atom.

It has space group F-43m (No. 216), with a = 7.353 Å, b = 7.353 Å, c = 7.353 Å, α = 90.00°, β = 90.00° and γ = 90.00°. The inequivalent atoms are Ce at (0.000, 0.000, 0.000), Sn at (0.000, 0.000, 0.500), Hg at (0.250, 0.250, 0.250) and Ge at (0.250, 0.250, 0.750).

The following is a DFT calculation (GGA-PBE) of a relaxed TbEr2ScS4 crystal.

As for the spin magnetization: 0.0 μB per formula unit. The formation energy (no corrections) is -1932 meV/atom. For the density of states at the Fermi level, the calculation gives 5.0 states/eV per cell. The uncorrected energy is -6.51 eV per atom. The calculation puts the volume at 20.06 Å³ per atom.

It has space group P2/m (No. 10), with a = 6.656 Å, b = 3.816 Å, c = 6.688 Å, α = 90.00°, β = 109.15° and γ = 90.00°. The inequivalent atoms are Tb at (0.000, 0.000, 0.000), Er at (0.500, 0.000, 0.500), Er at (0.500, 0.500, 0.000), Sc at (0.000, 0.500, 0.500), S at (0.244, 0.000, 0.740) and S at (0.250, 0.500, 0.258).

Q: spin magnetization of number 3 (CaRe2Br)?
A: 0.0 μB per formula unit

Q: Which value of uncorrected energy does entry 11 give?
A: -3.97 eV per atom